PBE-GGA Zr2TcPtC, relaxed; space-group type = P4/mmm; formation energy = -0.5955 eV per atom; magnetic moment = 0.00 Bohr magnetons per cell; crystal system = tetragonal
1.0
4.561 0.000 0.000
0.000 4.561 0.000
0.000 0.000 3.950
Zr Pt C Tc
2 1 1 1
Direct
0.500 0.000 0.000
0.000 0.500 0.000
0.500 0.500 0.500
0.000 0.000 0.000
0.000 0.000 0.500